TbGdNi2Ge (GGA-PBE, optimized geometry); M_tot = 0.0 μB/cell; total energy = -5.5936 eV per atom; space-group type = Amm2, No. 38
1.0
3.629 0.000 0.000
0.000 3.960 0.000
0.000 0.000 13.275
Tb Gd Ni Ge
2 2 4 2
Cartesian
0.000 0.000 0.000 Tb
0.000 1.980 6.637 Tb
0.000 0.000 3.414 Gd
0.000 1.980 10.052 Gd
1.814 0.000 5.764 Ni
1.814 0.000 10.940 Ni
1.814 1.980 4.302 Ni
1.814 1.980 12.402 Ni
1.814 0.000 8.339 Ge
1.814 1.980 1.701 Ge